HfSb2Pb | PBE | relaxed

Unit cell a=4.080 b=4.080 c=8.411 alpha=75.96 beta=75.96 gamma=60.00
Fractional positions:
1 Hf 0.667 0.667 0.000
2 Sb 0.070 0.070 0.789
3 Sb 0.260 0.260 0.220
4 Pb 0.503 0.503 0.491

spin magnetization	0.000	μB per atom
calculated total energy	-5.63	eV per atom
space-group type	R3m, No. 160
theoretical density	8975	kg/m³
uncorrected formation energy	-0.6	eV/f.u.